A relaxed structure of Li2ScMo, computed with PBE-GGA.

Properties
Electronic total energy in eV/f.u.: -18.85
Mass density in g cm⁻³: 3.9
Space group: I-4m2, No. 119

Cell: 5.041 5.041 5.041 Å, 133.36 133.36 68.09°
Atoms (fractional coordinates):
Li (0.000, 0.000, 0.000)
Li (0.750, 0.250, 0.500)
Sc (0.250, 0.750, 0.500)
Mo (0.500, 0.500, 0.000)

=====

A relaxed structure of NaTiNiS3, computed with PBE-GGA.

Properties
E_form (uncorrected) in meV/atom: -1074
Mass density in g cm⁻³: 3.4
Space group: P2_1/m, No. 11

Cell: 7.676 3.519 8.686 Å, 90.00 109.43 90.00°
Atoms (fractional coordinates):
Na (0.221, 0.250, 0.248)
Na (0.779, 0.750, 0.752)
Ti (0.311, 0.750, 0.834)
Ti (0.689, 0.250, 0.166)
Ni (0.091, 0.250, 0.599)
Ni (0.909, 0.750, 0.401)
S (0.105, 0.250, 0.861)
S (0.229, 0.750, 0.538)
S (0.453, 0.750, 0.145)
S (0.547, 0.250, 0.855)
S (0.771, 0.250, 0.462)
S (0.895, 0.750, 0.139)

=====

A relaxed structure of Mn5V6Fe, computed with PBE-GGA.

Properties
Electronic total energy in eV/f.u.: -112.07
Mass density in g cm⁻³: 7.5
Space group: Immm, No. 71

Cell: 7.018 7.018 7.018 Å, 146.36 131.73 60.12°
Atoms (fractional coordinates):
Mn (0.000, 0.000, 0.000)
Mn (0.167, 0.667, 0.500)
Mn (0.334, 0.334, 0.000)
Mn (0.666, 0.666, 0.000)
Mn (0.833, 0.333, 0.500)
V (0.081, 0.832, 0.249)
V (0.248, 0.500, 0.748)
V (0.416, 0.168, 0.249)
V (0.584, 0.832, 0.751)
V (0.752, 0.500, 0.252)
V (0.919, 0.168, 0.751)
Fe (0.500, 0.000, 0.500)

=====

A relaxed structure of GePd6Pt2, computed with PBE-GGA.

Properties
Electronic total energy in eV/f.u.: -48.77
Mass density in g cm⁻³: 12.7
Space group: C2/c, No. 15

Cell: 7.944 7.944 4.667 Å, 97.16 97.16 81.01°
Atoms (fractional coordinates):
Ge (0.134, 0.866, 0.750)
Ge (0.866, 0.134, 0.250)
Pd (0.027, 0.394, 0.250)
Pd (0.038, 0.192, 0.729)
Pd (0.192, 0.038, 0.229)
Pd (0.273, 0.606, 0.464)
Pd (0.394, 0.027, 0.750)
Pd (0.394, 0.727, 0.036)
Pd (0.606, 0.273, 0.964)
Pd (0.606, 0.973, 0.250)
Pd (0.727, 0.394, 0.536)
Pd (0.808, 0.962, 0.771)
Pd (0.962, 0.808, 0.271)
Pd (0.973, 0.606, 0.750)
Pt (0.276, 0.409, 0.910)
Pt (0.409, 0.276, 0.410)
Pt (0.591, 0.724, 0.590)
Pt (0.724, 0.591, 0.090)

=====

A relaxed structure of Cs2BaGeBr6, computed with PBE-GGA.

Properties
E_form (uncorrected) in meV/atom: -1545
Mass density in g cm⁻³: 3.8
Space group: P2_1/c, No. 14

Cell: 8.275 8.466 14.372 Å, 90.00 124.56 90.00°
Atoms (fractional coordinates):
Cs (0.233, 0.053, 0.248)
Cs (0.233, 0.447, 0.748)
Cs (0.767, 0.553, 0.252)
Cs (0.767, 0.947, 0.752)
Ba (0.500, 0.000, 0.000)
Ba (0.500, 0.500, 0.500)
Ge (0.000, 0.000, 0.500)
Ge (0.000, 0.500, 0.000)
Br (0.152, 0.225, 0.960)
Br (0.152, 0.275, 0.460)
Br (0.238, 0.695, 0.962)
Br (0.238, 0.805, 0.462)
Br (0.307, 0.014, 0.734)
Br (0.307, 0.486, 0.234)
Br (0.693, 0.514, 0.766)
Br (0.693, 0.986, 0.266)
Br (0.762, 0.195, 0.538)
Br (0.762, 0.305, 0.038)
Br (0.848, 0.725, 0.540)
Br (0.848, 0.775, 0.040)

=====

A relaxed structure of Mg6MnNi, computed with PBE-GGA.

Properties
Electronic total energy in eV/f.u.: -23.59
Mass density in g cm⁻³: 2.8
Space group: Amm2, No. 38

Cell: 4.770 6.062 6.062 Å, 59.77 90.00 90.00°
Atoms (fractional coordinates):
Mg (0.000, 0.000, 0.000)
Mg (0.000, 0.480, 0.990)
Mg (0.000, 0.496, 0.496)
Mg (0.000, 0.990, 0.480)
Mg (0.500, 0.156, 0.654)
Mg (0.500, 0.654, 0.156)
Mn (0.500, 0.654, 0.654)
Ni (0.500, 0.155, 0.155)

=====

A relaxed structure of YTlAgI5, computed with PBE-GGA.

Properties
E_form (uncorrected) in meV/atom: -901
Mass density in g cm⁻³: 4.9
Space group: C2/c, No. 15

Cell: 8.436 8.436 11.330 Å, 102.58 102.58 108.71°
Atoms (fractional coordinates):
Y (0.000, 0.000, 0.000)
Y (0.000, 0.000, 0.500)
Tl (0.373, 0.627, 0.750)
Tl (0.627, 0.373, 0.250)
Ag (0.310, 0.690, 0.250)
Ag (0.690, 0.310, 0.750)
I (0.066, 0.676, 0.386)
I (0.087, 0.913, 0.750)
I (0.247, 0.379, 0.050)
I (0.324, 0.934, 0.114)
I (0.379, 0.247, 0.550)
I (0.621, 0.753, 0.450)
I (0.676, 0.066, 0.886)
I (0.753, 0.621, 0.950)
I (0.913, 0.087, 0.250)
I (0.934, 0.324, 0.614)

=====

A relaxed structure of AcAgO2, computed with PBE-GGA.

Properties
E_form (uncorrected) in meV/atom: -2154
Mass density in g cm⁻³: 7.0
Space group: R-3m, No. 166

Cell: 6.643 6.643 6.643 Å, 35.08 35.08 35.08°
Atoms (fractional coordinates):
Ac (0.000, 0.000, 0.000)
Ag (0.500, 0.500, 0.500)
O (0.389, 0.389, 0.389)
O (0.611, 0.611, 0.611)

=====

A relaxed structure of MgCr2BI, computed with PBE-GGA.

Properties
E_form (uncorrected) in meV/atom: 2194
Mass density in g cm⁻³: 4.8
Space group: P4/mmm, No. 123

Cell: 4.781 4.781 4.006 Å, 90.00 90.00 90.00°
Atoms (fractional coordinates):
Mg (0.000, 0.000, 0.000)
Cr (0.000, 0.500, 0.000)
Cr (0.500, 0.000, 0.000)
B (0.000, 0.000, 0.500)
I (0.500, 0.500, 0.500)

=====

A relaxed structure of Ca2TlW, computed with PBE-GGA.

Properties
Electronic total energy in eV/f.u.: -16.90
Mass density in g cm⁻³: 7.5
Space group: Imm2, No. 44

Cell: 6.622 6.622 6.622 Å, 151.67 130.53 57.99°
Atoms (fractional coordinates):
Ca (0.000, 0.000, 0.000)
Ca (0.698, 0.198, 0.500)
Tl (0.257, 0.757, 0.500)
W (0.459, 0.459, 0.000)

=====

A relaxed structure of SmUN3, computed with PBE-GGA.

Properties
E_form (uncorrected) in meV/atom: -1255
Mass density in g cm⁻³: 9.1
Space group: R3m, No. 160

Cell: 4.291 4.291 4.291 Å, 88.64 88.64 88.64°
Atoms (fractional coordinates):
Sm (0.000, 0.000, 0.000)
U (0.565, 0.565, 0.565)
N (0.067, 0.603, 0.603)
N (0.603, 0.067, 0.603)
N (0.603, 0.603, 0.067)

=====

A relaxed structure of LaAl2Cd, computed with PBE-GGA.

Properties
Electronic total energy in eV/f.u.: -13.34
Mass density in g cm⁻³: 4.6
Space group: I-42d, No. 122

Cell: 10.005 10.005 10.005 Å, 151.97 151.97 40.05°
Atoms (fractional coordinates):
La (0.000, 0.000, 0.000)
La (0.750, 0.250, 0.500)
Al (0.274, 0.625, 0.149)
Al (0.375, 0.524, 0.649)
Al (0.476, 0.125, 0.851)
Al (0.875, 0.726, 0.351)
Cd (0.250, 0.750, 0.500)
Cd (0.500, 0.500, 0.000)